# Nb4AlIr5

Nb4AlIr5 after structural relaxation (PBE, the Alexandria database).

Summary:
- electronic total energy (eV/atom) = -9.467
- SG = No. 123
- N(E_F) (states/eV/atom) = 0.694
- total magnetization (μB per cell) = 0.0
- formation energy from the elements (meV per atom) = -634

Unit cell a=2.8895 b=2.8895 c=18.7491 alpha=90.00 beta=90.00 gamma=90.00
Positions (direct):
Nb 0.0000 0.0000 0.3966
Nb 0.0000 0.0000 0.6034
Ir 0.5000 0.5000 0.0859
Nb 0.0000 0.0000 0.8111
Ir 0.5000 0.5000 0.5000
Ir 0.5000 0.5000 0.7067
Al 0.0000 0.0000 0.0000
Nb 0.0000 0.0000 0.1889
Ir 0.5000 0.5000 0.9141
Ir 0.5000 0.5000 0.2933